Density functional theory data (PBE-GGA) for crystalline ZnCoAg3 at its relaxed geometry.

```
data_ZnCoAg3
_chemical_formula_sum 'Zn1 Co1 Ag3'
_cell_length_a 4.7639
_cell_length_b 4.7639
_cell_length_c 4.7639
_cell_angle_alpha 90.00
_cell_angle_beta 90.00
_cell_angle_gamma 90.00
_symmetry_space_group_name_H-M 'P 1'
_symmetry_Int_Tables_number 1
_symmetry_space_group_name_Hall 'P 1'
loop_
_atom_site_label
_atom_site_type_symbol
_atom_site_fract_x
_atom_site_fract_y
_atom_site_fract_z
Zn1 Zn 0.0000 0.0000 0.0000
Co1 Co 0.5000 0.5000 0.5000
Ag1 Ag 0.0000 0.0000 0.5000
Ag2 Ag 0.0000 0.5000 0.0000
Ag3 Ag 0.5000 0.0000 0.0000
```

Properties
The value obtained for the energy of formation is 95.1 kJ per mole of atoms. As for the energy relative to the lowest polymorph listed for this composition: 35 meV/atom.

=====

Density functional theory data (PBE-GGA) for crystalline ZnCo2Ag at its relaxed geometry.

```
data_ZnCo2Ag
_chemical_formula_sum 'Zn1 Co2 Ag1'
_cell_length_a 8.8869
_cell_length_b 8.8869
_cell_length_c 8.8869
_cell_angle_alpha 17.31
_cell_angle_beta 17.31
_cell_angle_gamma 17.31
_symmetry_space_group_name_H-M 'P 1'
_symmetry_Int_Tables_number 1
_symmetry_space_group_name_Hall 'P 1'
loop_
_atom_site_label
_atom_site_type_symbol
_atom_site_fract_x
_atom_site_fract_y
_atom_site_fract_z
Zn1 Zn 0.0000 0.0000 0.0000
Co1 Co 0.2532 0.2532 0.2532
Co2 Co 0.5159 0.5159 0.5159
Ag1 Ag 0.7596 0.7596 0.7596
```

Properties
The value obtained for the energy of formation is 14.8 kJ per mole of atoms.

=====

Density functional theory data (PBE-GGA) for crystalline Zn2CoAg at its relaxed geometry.

```
data_Zn2CoAg
_chemical_formula_sum 'Zn2 Co1 Ag1'
_cell_length_a 4.4589
_cell_length_b 4.4589
_cell_length_c 4.4589
_cell_angle_alpha 126.29
_cell_angle_beta 126.29
_cell_angle_gamma 79.41
_symmetry_space_group_name_H-M 'P 1'
_symmetry_Int_Tables_number 1
_symmetry_space_group_name_Hall 'P 1'
loop_
_atom_site_label
_atom_site_type_symbol
_atom_site_fract_x
_atom_site_fract_y
_atom_site_fract_z
Zn1 Zn 0.2500 0.7500 0.5000
Zn2 Zn 0.7500 0.2500 0.5000
Co1 Co 0.0000 0.0000 0.0000
Ag1 Ag 0.5000 0.5000 0.0000
```

Properties
The value obtained for the energy of formation is 7.8 kJ per mole of atoms. As for the energy relative to the lowest polymorph listed for this composition: 91 meV/atom.